# 1
The following is a DFT calculation (PBE) of an optimized crystal structure of ScZn2Ge2.

Lattice parameters (Å, degrees): 3.8986 3.9367 11.1826 90.00 100.04 90.00
Positions (direct):
Zn: 0.5421 0.2500 0.0842
Sc: 0.6504 0.7500 0.3009
Ge: 0.8739 0.7500 0.7478
Sc: 0.3496 0.2500 0.6991
Zn: 0.4579 0.7500 0.9158
Zn: 0.0438 0.7500 0.0875
Ge: 0.1261 0.2500 0.2522
Zn: 0.9562 0.2500 0.9125
Ge: 0.7497 0.2500 0.4994
Ge: 0.2503 0.7500 0.5006

The calculation puts the volume at 16.90 Å³ per atom. The calculation puts the energy relative to the lowest polymorph listed for this composition at 0.00 eV/f.u. The total magnetization is 0.00 μB/cell. The symmetry is No. 63.



# 2
The following is a DFT calculation (PBE) of an optimized crystal structure of ZrScGe2.

Lattice parameters (Å, degrees): 5.4848 5.4894 10.5429 90.00 104.94 90.00
Positions (direct):
Zr: 0.0538 0.1224 0.8635
Ge: 0.5766 0.1261 0.9082
Zr: 0.5538 0.8776 0.3635
Zr: 0.4462 0.1224 0.6365
Sc: 0.5586 0.6266 0.8629
Ge: 0.4234 0.8739 0.0918
Ge: 0.5807 0.3769 0.4085
Ge: 0.0766 0.8739 0.4082
Sc: 0.9414 0.6266 0.6371
Zr: 0.9462 0.8776 0.1365
Ge: 0.9234 0.1261 0.5918
Sc: 0.0586 0.3734 0.3629
Ge: 0.0807 0.6231 0.9085
Sc: 0.4414 0.3734 0.1371
Ge: 0.4193 0.6231 0.5915
Ge: 0.9193 0.3769 0.0915

The calculation puts the volume at 19.17 Å³ per atom. The calculation puts the energy relative to the lowest polymorph listed for this composition at 0.00 eV/f.u. The total magnetization is 0.00 μB/cell. The symmetry is No. 13.



# 3
The following is a DFT calculation (PBE) of an optimized crystal structure of ZrScGe2.

Lattice parameters (Å, degrees): 7.3447 7.3447 6.0122 52.35 52.35 90.00
Positions (direct):
Zr: 0.0000 0.0000 0.0000
Ge: 0.8750 0.8733 0.7500
Ge: 0.3750 0.3767 0.7500
Zr: 0.7500 0.2500 0.5000
Ge: 0.1267 0.6250 0.2500
Ge: 0.6233 0.1250 0.2500
Sc: 0.5000 0.5000 0.0000
Sc: 0.2500 0.7500 0.5000

The calculation puts the volume at 20.42 Å³ per atom. The calculation puts the energy relative to the lowest polymorph listed for this composition at 1.41 eV/f.u. The total magnetization is 0.00 μB/cell. The symmetry is No. 122.



# 4
The following is a DFT calculation (PBE) of an optimized crystal structure of ZrSc2Ge2.

Lattice parameters (Å, degrees): 7.2659 7.2659 3.7854 90.00 90.00 90.00
Positions (direct):
Zr: 0.0000 0.0000 0.0000
Sc: 0.3307 0.1693 0.5000
Ge: 0.8667 0.6333 0.0000
Ge: 0.6333 0.1333 0.0000
Zr: 0.5000 0.5000 0.0000
Ge: 0.3667 0.8667 0.0000
Sc: 0.1693 0.6693 0.5000
Sc: 0.8307 0.3307 0.5000
Sc: 0.6693 0.8307 0.5000
Ge: 0.1333 0.3667 0.0000

The calculation puts the volume at 19.98 Å³ per atom. The calculation puts the energy relative to the lowest polymorph listed for this composition at 0.00 eV/f.u. The total magnetization is 0.00 μB/cell. The symmetry is No. 127.



# 5
The following is a DFT calculation (PBE) of an optimized crystal structure of ZrSc3Ge.

Lattice parameters (Å, degrees): 5.0832 5.0832 5.0832 90.00 90.00 90.00
Site moments in Bohr magnetons follow the coordinates.
Positions (direct):
Sc: 0.5000 0.0000 0.0000  0.27
Zr: 0.5000 0.5000 0.5000  0.89
Sc: 0.0000 0.5000 0.0000  0.28
Sc: 0.0000 0.0000 0.5000  0.35
Ge: 0.0000 0.0000 0.0000  0.03

The calculation puts the volume at 26.27 Å³ per atom. The calculation puts the energy relative to the lowest polymorph listed for this composition at 0.00 eV/f.u. The total magnetization is 3.25 μB/cell. The symmetry is No. 221.



# 6
The following is a DFT calculation (PBE) of an optimized crystal structure of ZrScGe2.

Lattice parameters (Å, degrees): 3.9121 3.8523 5.4436 90.00 111.09 90.00
Positions (direct):
Ge: 0.1738 0.5000 0.8856
Sc: 0.7216 0.0000 0.9811
Zr: 0.4455 0.5000 0.4309
Ge: 0.9901 0.0000 0.5203

The calculation puts the volume at 19.14 Å³ per atom. The calculation puts the energy relative to the lowest polymorph listed for this composition at 0.01 eV/f.u. The total magnetization is 0.00 μB/cell. The symmetry is No. 38.



# 7
The following is a DFT calculation (PBE) of an optimized crystal structure of ZrScGe2.

Lattice parameters (Å, degrees): 3.8269 3.8269 6.9237 73.96 73.96 60.00
Positions (direct):
Ge: 0.7496 0.7496 0.7513
Zr: 0.0000 0.0000 0.0000
Sc: 0.5000 0.5000 0.5000
Ge: 0.2504 0.2504 0.2487

The calculation puts the volume at 20.81 Å³ per atom. The calculation puts the energy relative to the lowest polymorph listed for this composition at 0.57 eV/f.u. The total magnetization is 0.00 μB/cell. The symmetry is No. 166.



# 8
The following is a DFT calculation (PBE) of an optimized crystal structure of ZrScGe2.

Lattice parameters (Å, degrees): 4.7841 4.7841 4.7841 60.00 60.00 60.00
Site moments in Bohr magnetons follow the coordinates.
Positions (direct):
Sc: 0.0000 0.0000 0.0000  0.26
Zr: 0.5000 0.5000 0.5000  0.49
Ge: 0.7500 0.7500 0.7500  0.03
Ge: 0.2500 0.2500 0.2500  0.03

The calculation puts the volume at 19.36 Å³ per atom. The calculation puts the energy relative to the lowest polymorph listed for this composition at 1.53 eV/f.u. The total magnetization is 1.23 μB/cell. The symmetry is No. 225.



# 9
The following is a DFT calculation (PBE) of an optimized crystal structure of ZrSc2Ge2.

Lattice parameters (Å, degrees): 3.9956 3.9159 12.8321 90.00 98.96 90.00
Positions (direct):
Ge: 0.8331 0.7500 0.6662
Sc: 0.2512 0.7500 0.5024
Ge: 0.4645 0.2500 0.9289
Zr: 0.3561 0.2500 0.7123
Ge: 0.5355 0.7500 0.0711
Sc: 0.9441 0.7500 0.8882
Sc: 0.7488 0.2500 0.4976
Ge: 0.1669 0.2500 0.3338
Sc: 0.0559 0.2500 0.1118
Zr: 0.6439 0.7500 0.2877

The calculation puts the volume at 19.83 Å³ per atom. The calculation puts the energy relative to the lowest polymorph listed for this composition at 0.08 eV/f.u. The total magnetization is 0.00 μB/cell. The symmetry is No. 63.



# 10
The following is a DFT calculation (PBE) of an optimized crystal structure of Zr2Sc2Ge.

Lattice parameters (Å, degrees): 7.1801 7.1801 4.4794 90.00 90.00 90.00
Positions (direct):
Ge: 0.5000 0.5000 0.0000
Sc: 0.6544 0.8456 0.5000
Zr: 0.6469 0.1469 0.0000
Sc: 0.8456 0.3456 0.5000
Zr: 0.1469 0.3531 0.0000
Ge: 0.0000 0.0000 0.0000
Zr: 0.8531 0.6469 0.0000
Sc: 0.1544 0.6544 0.5000
Sc: 0.3456 0.1544 0.5000
Zr: 0.3531 0.8531 0.0000

The calculation puts the volume at 23.09 Å³ per atom. The calculation puts the energy relative to the lowest polymorph listed for this composition at 0.00 eV/f.u. The total magnetization is 0.00 μB/cell. The symmetry is No. 127.



# 11
The following is a DFT calculation (PBE) of an optimized crystal structure of Zr2Sc4Ge.

Lattice parameters (Å, degrees): 5.0318 5.0318 8.2341 72.21 72.21 90.00
Positions (direct):
Sc: 0.8223 0.8223 0.3554
Zr: 0.3911 0.3911 0.2178
Sc: 0.1777 0.1777 0.6446
Ge: 0.0000 0.0000 0.0000
Sc: 0.0000 0.5000 0.0000
Sc: 0.5000 0.0000 0.0000
Zr: 0.6089 0.6089 0.7822

The calculation puts the volume at 26.86 Å³ per atom. The total magnetization is 0.00 μB/cell. The symmetry is No. 139.



# 12
The following is a DFT calculation (PBE) of an optimized crystal structure of Zr2Sc2Ge.

Lattice parameters (Å, degrees): 7.1649 7.1649 4.3345 90.00 90.00 90.00
Positions (direct):
Zr: 0.1522 0.6522 0.5000
Sc: 0.8526 0.6474 0.0000
Sc: 0.6474 0.1474 0.0000
Zr: 0.8478 0.3478 0.5000
Ge: 0.0000 0.0000 0.0000
Zr: 0.3478 0.1522 0.5000
Ge: 0.5000 0.5000 0.0000
Zr: 0.6522 0.8478 0.5000
Sc: 0.1474 0.3526 0.0000
Sc: 0.3526 0.8526 0.0000

The calculation puts the volume at 22.25 Å³ per atom. The calculation puts the energy relative to the lowest polymorph listed for this composition at 0.45 eV/f.u. The total magnetization is 0.00 μB/cell. The symmetry is No. 127.



Number 1: E_form -0.3436 eV per atom. Number 2: E_form -0.8172 eV per atom. Number 3: E_form -0.4636 eV per atom. Number 4: E_form -0.7450 eV per atom. Number 5: E_form 0.1827 eV per atom. Number 6: E_form -0.8160 eV per atom. Number 7: E_form -0.6746 eV per atom. Number 8: E_form -0.4340 eV per atom. Number 9: E_form -0.7291 eV per atom. Number 10: E_form -0.1493 eV per atom. Number 11: E_form 0.4476 eV per atom. Number 12: E_form -0.0602 eV per atom.